Record 1
Tm2BeB6Os, relaxed, DFT PBE; volume = 11.30 A^3/atom; SG = R-3m, No. 166; crystal system = trigonal; DOS(E_F) = 7.964 states/eV per cell; final energy = -133.8 eV for the cell shown; DFT formation energy = -291.9 meV/atom
1.0
2.521 1.456 10.264
-2.521 1.456 10.264
0.000 -2.911 10.264
Tm Be B Os
4 2 12 2
direct
0.131 0.131 0.131
0.295 0.295 0.295
0.705 0.705 0.705
0.869 0.869 0.869
0.000 0.000 0.000
0.500 0.500 0.500
0.010 0.677 0.677
0.166 0.166 0.826
0.166 0.826 0.166
0.174 0.834 0.834
0.323 0.323 0.990
0.323 0.990 0.323
0.677 0.010 0.677
0.677 0.677 0.010
0.826 0.166 0.166
0.834 0.174 0.834
0.834 0.834 0.174
0.990 0.323 0.323
0.419 0.419 0.419
0.581 0.581 0.581

=====

Record 2
Na3WC, relaxed, DFT PBE; volume = 23.03 A^3/atom; SG = Pm-3m, No. 221; crystal system = cubic; DOS(E_F) = 8.853 states/eV per cell; final energy = -14.8 eV for the cell shown; DFT formation energy = 2256.9 meV/atom; energy relative to the lowest polymorph listed for this composition = 0.0000 eV/atom
1.0
4.865 0.000 0.000
0.000 4.865 0.000
0.000 0.000 4.865
Na W C
3 1 1
direct
0.000 0.000 0.500
0.000 0.500 0.000
0.500 0.000 0.000
0.500 0.500 0.500
0.000 0.000 0.000

=====

Record 3
HgOs2RuC, relaxed, DFT PBE; volume = 14.84 A^3/atom; SG = P4/mmm, No. 123; crystal system = tetragonal; DOS(E_F) = 6.839 states/eV per cell; final energy = -35.8 eV for the cell shown; DFT formation energy = 1083.4 meV/atom
1.0
3.988 0.000 0.000
0.000 3.988 0.000
0.000 0.000 4.664
Hg Os Ru C
1 2 1 1
direct
0.000 0.000 0.000
0.000 0.500 0.500
0.500 0.000 0.500
0.500 0.500 0.000
0.000 0.000 0.500

=====

Record 4
Pm2Th3Se6, relaxed, DFT PBE; volume = 27.95 A^3/atom; SG = C2/m, No. 12; crystal system = monoclinic; DOS(E_F) = 5.839 states/eV per cell; formation energy without anion corrections = -1.71 eV per atom; final energy = -71.5 eV for the cell shown
1.0
3.583 -6.240 0.000
3.583 6.240 0.000
-2.411 0.000 6.874
Pm Th Se
2 3 6
direct
0.166 0.834 0.000
0.834 0.166 0.000
0.000 0.000 0.500
0.333 0.667 0.500
0.667 0.333 0.500
0.097 0.420 0.759
0.258 0.258 0.240
0.420 0.097 0.759
0.580 0.903 0.241
0.742 0.742 0.760
0.903 0.580 0.241

=====

Record 5
La2HgH, relaxed, DFT PBE; volume = 25.96 A^3/atom; SG = Fm-3m, No. 225; crystal system = cubic; DOS(E_F) = 5.380 states/eV per cell; final energy = -13.9 eV for the cell shown; energy relative to the lowest polymorph listed for this composition = 0.3222 eV/atom
1.0
0.000 3.731 3.731
3.731 0.000 3.731
3.731 3.731 0.000
La Hg H
2 1 1
direct
0.250 0.250 0.250
0.750 0.750 0.750
0.000 0.000 0.000
0.500 0.500 0.500

=====

Record 6
AcPr3Pd, relaxed, DFT PBE; volume = 33.41 A^3/atom; SG = P2_1/c, No. 14; crystal system = monoclinic; DOS(E_F) = 24.205 states/eV per cell; final energy = -99.3 eV for the cell shown; DFT formation energy = -239.0 meV/atom
1.0
8.575 0.000 0.000
0.000 7.688 0.000
-3.083 0.000 10.136
Ac Pr Pd
4 12 4
direct
0.185 0.030 0.258
0.185 0.470 0.758
0.815 0.530 0.242
0.815 0.970 0.742
0.050 0.707 0.018
0.050 0.793 0.518
0.281 0.509 0.378
0.281 0.991 0.878
0.411 0.133 0.609
0.411 0.367 0.109
0.589 0.633 0.891
0.589 0.867 0.391
0.719 0.009 0.122
0.719 0.491 0.622
0.950 0.207 0.482
0.950 0.293 0.982
0.428 0.745 0.604
0.428 0.755 0.104
0.572 0.245 0.896
0.572 0.255 0.396

=====

Record 7
Pu2CrCo3H12, relaxed, DFT PBE; volume = 7.47 A^3/atom; SG = R-3m, No. 166; crystal system = trigonal; DOS(E_F) = 20.748 states/eV per cell; final energy = -102.3 eV for the cell shown
1.0
2.871 1.658 4.710
-2.871 1.658 4.710
0.000 -3.315 4.710
Pu Cr Co H
2 1 3 12
direct
0.118 0.118 0.118
0.882 0.882 0.882
0.500 0.500 0.500
0.000 0.500 0.500
0.500 0.000 0.500
0.500 0.500 0.000
0.129 0.607 0.607
0.171 0.171 0.635
0.171 0.635 0.171
0.365 0.829 0.829
0.393 0.393 0.871
0.393 0.871 0.393
0.607 0.129 0.607
0.607 0.607 0.129
0.635 0.171 0.171
0.829 0.365 0.829
0.829 0.829 0.365
0.871 0.393 0.393

=====

Record 8
Li3InBi, relaxed, DFT PBE; volume = 29.13 A^3/atom; SG = Pm-3m, No. 221; crystal system = cubic; DOS(E_F) = 3.101 states/eV per cell; final energy = -12.8 eV for the cell shown; DFT formation energy = -84.2 meV/atom; energy relative to the lowest polymorph listed for this composition = 0.2778 eV/atom
1.0
5.261 0.000 0.000
0.000 5.261 0.000
0.000 0.000 5.261
Li In Bi
3 1 1
direct
0.000 0.000 0.500
0.000 0.500 0.000
0.500 0.000 0.000
0.500 0.500 0.500
0.000 0.000 0.000

=====

- Number 6 is which compound?
  AcPr3Pd